## CeGa2Br8 (PBE)

Data for an optimized crystal structure of CeGa2Br8.

Uncorrected formation energy (eV/f.u.): -11.6
Total magnetic moment (μB/f.u.): 1.55
VASP energy (eV/atom): -3.36

Structure (CIF):
```
data_CeGa2Br8
_cell_length_a 13.481
_cell_length_b 9.574
_cell_length_c 6.986
_cell_angle_alpha 90.00
_cell_angle_beta 100.95
_cell_angle_gamma 90.00
_symmetry_space_group_name_H-M 'C 1 2/m 1'
_symmetry_Int_Tables_number 12
_symmetry_space_group_name_Hall '-C 2y'
loop_
_atom_site_label
_atom_site_type_symbol
_atom_site_fract_x
_atom_site_fract_y
_atom_site_fract_z
Ce1 Ce 0.000 0.000 0.000
Ga1 Ga 0.203 0.000 0.666
Br1 Br 0.105 0.195 0.772
Br2 Br 0.125 0.500 0.188
Br3 Br 0.186 0.000 0.302
```